The following is a DFT calculation (PBE) of crystalline BeNi2Br at its relaxed geometry.

a = 4.7917 Å, b = 4.7917 Å, c = 4.7917 Å
α = 137.25°, β = 137.25°, γ = 62.05°
Positions (direct):
Ni  0.2500  0.7500  0.5000
Ni  0.0000  0.0000  0.0000
Be  0.5000  0.5000  0.0000
Br  0.7500  0.2500  0.5000

Relative energy among the computed polymorphs (eV per formula unit): 1.53
Formation energy (no corrections) (eV per atom): 0.516

---

The following is a DFT calculation (PBE) of crystalline CaCoNiH2 at its relaxed geometry.

a = 3.7308 Å, b = 5.9054 Å, c = 3.7308 Å
α = 90.00°, β = 90.00°, γ = 90.00°
Positions (direct):
Ni  0.5000  0.5000  0.5000
Co  0.0000  0.5000  0.0000
H  0.0000  0.0000  0.5000
H  0.5000  0.0000  0.0000
Ca  0.0000  0.0000  0.0000

Final energy (eV per atom): -3.415

---

The following is a DFT calculation (PBE) of crystalline Y4Al5Ge6 at its relaxed geometry.

a = 4.1421 Å, b = 10.2081 Å, c = 15.2274 Å
α = 90.00°, β = 90.00°, γ = 101.71°
Positions (direct):
Al  0.3430  0.6859  0.2767
Al  0.8528  0.7056  0.1260
Al  0.4365  0.8730  0.6913
Al  0.5635  0.1270  0.1913
Al  0.1472  0.2944  0.6260
Al  0.3546  0.7093  0.9789
Al  0.3079  0.6158  0.6201
Al  0.6570  0.3141  0.7767
Al  0.6921  0.3842  0.1201
Al  0.6454  0.2907  0.4789
Ge  0.7702  0.5404  0.2559
Ge  0.5788  0.1577  0.9070
Ge  0.2189  0.4377  0.4930
Ge  0.1065  0.2131  0.1145
Ge  0.7811  0.5623  0.9930
Ge  0.4394  0.8788  0.8559
Ge  0.2298  0.4596  0.7559
Ge  0.4212  0.8423  0.4070
Ge  0.5657  0.1313  0.6249
Ge  0.8935  0.7869  0.6145
Ge  0.4343  0.8687  0.1249
Ge  0.5606  0.1212  0.3559
Y  0.1817  0.3635  0.9439
Y  0.9662  0.9325  0.2673
Y  0.1679  0.3358  0.3080
Y  0.9871  0.9742  0.9923
Y  0.8183  0.6365  0.4439
Y  0.8321  0.6642  0.8080
Y  0.0338  0.0675  0.7673
Y  0.0129  0.0258  0.4923

ΔH_f (0 K) (eV per atom): -0.47